# 1
Density functional theory data (PBE-GGA) for a geometry-optimized Be2ZnOs structure.

CIF file:
```
data_Be2ZnOs
_chemical_formula_sum 'Be2 Zn1 Os1'
_cell_length_a 3.8205
_cell_length_b 3.8205
_cell_length_c 2.9938
_cell_angle_alpha 90.00
_cell_angle_beta 90.00
_cell_angle_gamma 90.00
_space_group_name_H-M_alt 'P 1'
_space_group_IT_number 1
loop_
_space_group_symop_operation_xyz
'x,y,z'
loop_
_atom_site_label
_atom_site_fract_x
_atom_site_fract_y
_atom_site_fract_z
_atom_site_occupancy
Be1 0.0000 0.5000 0.0000 1
Be2 0.5000 0.0000 0.0000 1
Zn1 0.0000 0.0000 0.5000 1
Os1 0.5000 0.5000 0.5000 1
```

calculated formation energy	-0.11	eV/atom
DFT total energy	-5.100	eV per atom
spin magnetization	0.000	μB per atom

***

# 2
Density functional theory data (PBE-GGA) for a geometry-optimized PrSN structure.

CIF file:
```
data_PrSN
_chemical_formula_sum 'Pr2 S2 N2'
_cell_length_a 4.2260
_cell_length_b 4.2260
_cell_length_c 6.9020
_cell_angle_alpha 95.48
_cell_angle_beta 95.48
_cell_angle_gamma 71.72
_space_group_name_H-M_alt 'P 1'
_space_group_IT_number 1
loop_
_space_group_symop_operation_xyz
'x,y,z'
loop_
_atom_site_label
_atom_site_fract_x
_atom_site_fract_y
_atom_site_fract_z
_atom_site_occupancy
Pr1 0.2169 0.2169 0.2004 1
Pr2 0.7831 0.7831 0.7996 1
S1 0.2482 0.7518 0.5000 1
S2 0.7518 0.2482 0.5000 1
N1 0.3578 0.6422 0.0000 1
N2 0.6422 0.3578 0.0000 1
```

energy relative to the elements, uncorrected	-989	meV/atom
DFT total energy	-6.733	eV per atom
distance to the lowest polymorph of the same formula	297	meV per atom
spin magnetization	0.090	μB per atom